Below is a relaxed structure of Zr2FeRu, with properties calculated at the GGA-PBEsol level.

As for the density of states at the Fermi level: 0.43 states/eV per atom. The calculation puts the total energy at -38.99 eV for the cell shown. The energy relative to the elements is -0.418 eV/atom.

a b c (Å): 3.1825 3.1825 6.3384
angles (deg): 90.00 90.00 90.00
With the nearest neighbours (Å) after each atom.
Space group P4/mmm (No. 123)
Unique sites:
Zr  0.0000  0.0000  0.2432 (multiplicity 2)  4 Fe 2.73, 4 Ru 2.78
Fe  0.5000  0.5000  0.0000 (multiplicity 1)  8 Zr 2.73
Ru  0.5000  0.5000  0.5000 (multiplicity 1)  8 Zr 2.78

***

Below is a relaxed structure of ZrFe2Ru, with properties calculated at the GGA-PBEsol level.

As for the density of states at the Fermi level: 0.89 states/eV per atom. The calculation puts the total energy at -73.60 eV for the cell shown. The energy relative to the elements is 0.098 eV/atom.

a b c (Å): 5.1446 8.3538 2.7414
angles (deg): 90.00 108.45 90.00
With the nearest neighbours (Å) after each atom.
Space group C2/m (No. 12)
Unique sites:
Zr  0.0000  0.0000  0.0000 (multiplicity 2)  2 Ru 2.57, 4 Fe 2.60, 2 Zr 2.74
Fe  0.2500  0.2500  0.5000 (multiplicity 4)  4 Fe 2.57-2.74, 2 Zr 2.60, 2 Ru 2.60
Ru  0.0000  0.5000  0.0000 (multiplicity 2)  2 Zr 2.57, 4 Fe 2.60, 2 Ru 2.74